Computed, not measured: Li2CrPd5 after structural relaxation at the PBE-GGA level of DFT.

## Properties
Size of the total moment   3.44 μB per cell
N(E_F)   0.5293 states/eV/atom
Space-group type   I4mm, No. 107
Crystal system   tetragonal
Calculated total energy   -5.170 eV per atom
ΔH_f (0 K)   -0.24 eV per atom

POSCAR file:
```
Li2CrPd5
1.0
5.0991 -0.2134 -1.6123
-2.7870 4.2748 -1.6138
0.1182 0.2094 5.3468
Cr Pd Li
1 5 2
Cartesian
1.9190 3.3706 2.8354
-0.7485 3.2645 -1.7032
3.3097 1.2317 3.6440
0.6424 1.1259 -0.8948
0.7011 1.2347 1.7784
1.8560 3.2637 0.1624
-0.6929 3.3711 0.9703
3.2501 1.1270 0.9707
```